Compound: Li6CrNiP2C2O14
Source: Alexandria via LeMat-Bulk
Functional: GGA+U
Structure: relaxed

DFT total energy	-6.607	eV/atom
V	274.0	Å³ per cell

abc: 4.9985 6.4243 8.5768
angles: 90.00 95.73 90.00
With the nearest neighbours (Å) after each atom.
Space group Pm (No. 6)
Asymmetric unit:
Li: 0.0000 0.0000 0.0000  4 O 1.93-2.14
Li: 0.0717 0.2690 0.6234  5 O 2.13-2.21
Li: 0.5185 0.2341 0.1663  5 O 2.17-2.22
Li: 0.5972 0.5000 0.7830  2 O 1.86-1.95
Cr: 0.9985 0.5000 0.2293  4 O 2.04-2.16
Ni: 0.5939 0.0000 0.5624  5 O 2.03-2.17
P: 0.0649 0.0000 0.3093  4 O 1.53-1.56
P: 0.5325 0.5000 0.4871  4 O 1.55-1.56
C: 0.1205 0.5000 0.9315  3 O 1.28-1.32
C: 0.4772 0.0000 0.8498  3 O 1.29-1.31
O: 0.2096 0.5000 0.7949  1 C 1.29
O: 0.2211 0.5000 0.4771  1 P 1.55
O: 0.2904 0.5000 0.0596  1 C 1.32
O: 0.2999 0.0000 0.7262  1 C 1.31
O: 0.3793 0.0000 0.3303  1 P 1.56
O: 0.4009 0.0000 0.9904  1 C 1.30
O: 0.6208 0.5000 0.3193  1 P 1.55
O: 0.6481 0.3114 0.5867  1 P 1.56
O: 0.7277 0.0000 0.8246  1 C 1.29
O: 0.8680 0.5000 0.9477  1 C 1.28
O: 0.9583 0.1861 0.2036  1 P 1.56
O: 0.9614 0.0000 0.4717  1 P 1.53